(1)
Here is a relaxed NaS3Cl crystal from Alexandria. Energies are from PBE-GGA.

- E above lowest polymorph: 0.000 eV/atom
- Crystal system: cubic
- Magnetization: 0.000 μB per formula unit
- SG: Pm-3m
- E_form (uncorrected): 271 kJ/mol of formula units

Lattice parameters (Å, degrees): 4.7767 4.7767 4.7767 90.00 90.00 90.00
Atoms (fractional coordinates):
Na 0.5000 0.5000 0.5000
S 0.0000 0.5000 0.0000
S 0.0000 0.0000 0.5000
S 0.5000 0.0000 0.0000
Cl 0.0000 0.0000 0.0000

***

(2)
Here is a relaxed Y2Mg2Co crystal from Alexandria. Energies are from PBE-GGA.

- E above lowest polymorph: 0.305 eV/atom
- Crystal system: tetragonal
- Magnetization: 1.087 μB per formula unit
- SG: P4/mbm
- ΔE_f: 0.23 eV/atom

Lattice parameters (Å, degrees): 6.8327 6.8327 5.1071 90.00 90.00 90.00
Last column: magnetic moment on the atom in μB.
Atoms (fractional coordinates):
Y 0.1756 0.6756 0.5000  0.01
Y 0.6756 0.8244 0.5000  0.01
Y 0.8244 0.3244 0.5000  0.01
Y 0.3244 0.1756 0.5000  0.01
Mg 0.3528 0.8528 0.0000  -0.01
Mg 0.8528 0.6472 0.0000  -0.01
Mg 0.6472 0.1472 0.0000  -0.01
Mg 0.1472 0.3528 0.0000  -0.01
Co 0.0000 0.0000 0.0000  1.18
Co 0.5000 0.5000 0.0000  1.18

***

(3)
Here is a relaxed Cu2NiAg crystal from Alexandria. Energies are from PBE-GGA.

- Crystal system: tetragonal
- Magnetization: 0.000 μB per formula unit
- SG: I-42d
- ΔE_f: 0.44 eV/atom

Lattice parameters (Å, degrees): 3.6067 3.6067 9.2437 78.75 78.75 90.00
Atoms (fractional coordinates):
Ni 0.5000 0.5000 0.0000
Ni 0.2500 0.7500 0.5000
Cu 0.6090 0.1250 0.2500
Cu 0.1410 0.6250 0.2500
Cu 0.3750 0.3910 0.7500
Cu 0.8750 0.8590 0.7500
Ag 0.0000 0.0000 0.0000
Ag 0.7500 0.2500 0.5000

***

(4)
Here is a relaxed SmLu2Th crystal from Alexandria. Energies are from PBE-GGA.

- E above lowest polymorph: 0.000 eV/atom
- Crystal system: tetragonal
- Magnetization: 0.000 μB per formula unit
- SG: P4/mmm
- ΔE_f: 0.01 eV/atom

Lattice parameters (Å, degrees): 3.5557 3.5557 9.8606 90.00 90.00 90.00
Atoms (fractional coordinates):
Lu 0.0000 0.0000 0.7564
Lu 0.0000 0.0000 0.2436
Sm 0.5000 0.5000 0.5000
Th 0.5000 0.5000 0.0000

***

(5)
Here is a relaxed GaTcSe2Br crystal from Alexandria. Energies are from PBE-GGA.

- E above lowest polymorph: 0.624 eV/atom
- Crystal system: tetragonal
- Magnetization: 4.893 μB per formula unit
- SG: P4/mmm
- E_form (uncorrected): 336 kJ/mol of formula units

Lattice parameters (Å, degrees): 5.0020 5.0020 5.1037 90.00 90.00 90.00
Last column: magnetic moment on the atom in μB.
Atoms (fractional coordinates):
Ga 0.0000 0.0000 0.0000  0.01
Se 0.0000 0.5000 0.0000  0.06
Se 0.5000 0.0000 0.0000  0.06
Tc 0.5000 0.5000 0.5000  3.99
Br 0.0000 0.0000 0.5000  0.08

***

(6)
Here is a relaxed CsAs3Ir crystal from Alexandria. Energies are from PBE-GGA.

- Crystal system: cubic
- Magnetization: 0.000 μB per formula unit
- SG: Pm-3m
- ΔE_f: 0.37 eV/atom

Lattice parameters (Å, degrees): 5.0796 5.0796 5.0796 90.00 90.00 90.00
Atoms (fractional coordinates):
Cs 0.5000 0.5000 0.5000
As 0.0000 0.5000 0.0000
As 0.0000 0.0000 0.5000
As 0.5000 0.0000 0.0000
Ir 0.0000 0.0000 0.0000